# 1
SrSmEu2 PBE relaxed; total magnetization = 15.29 μB per formula unit; N(E_F) = 12.16 states/eV/cell; symmetry = P4/mmm (123)
1.0
3.890 0.000 0.000
0.000 3.890 0.000
0.000 0.000 11.166
Sr Sm Eu
1 1 2
Direct
0.000 0.000 0.000
0.000 0.000 0.500
0.500 0.500 0.274
0.500 0.500 0.726


# 2
SrSmEu2 PBE relaxed; total magnetization = 15.09 μB per formula unit; N(E_F) = 13.64 states/eV/cell; symmetry = R-3m (166)
1.0
3.895 0.000 0.000
-1.947 3.373 0.000
0.000 0.000 38.548
Sr Sm Eu
3 3 6
Direct
0.000 0.000 0.000
0.333 0.667 0.667
0.667 0.333 0.333
0.000 0.000 0.500
0.333 0.667 0.167
0.667 0.333 0.833
0.000 0.000 0.245
0.000 0.000 0.755
0.333 0.667 0.422
0.333 0.667 0.911
0.667 0.333 0.089
0.667 0.333 0.578


# 3
SrSmEuY PBE relaxed; total magnetization = 7.73 μB per formula unit; N(E_F) = 22.35 states/eV/cell; symmetry = F-43m (216)
1.0
8.516 0.000 0.000
0.000 8.516 0.000
0.000 0.000 8.516
Sr Sm Eu Y
4 4 4 4
Direct
0.000 0.000 0.000
0.000 0.500 0.500
0.500 0.000 0.500
0.500 0.500 0.000
0.000 0.000 0.500
0.000 0.500 0.000
0.500 0.000 0.000
0.500 0.500 0.500
0.250 0.250 0.750
0.250 0.750 0.250
0.750 0.250 0.250
0.750 0.750 0.750
0.250 0.250 0.250
0.250 0.750 0.750
0.750 0.250 0.750
0.750 0.750 0.250


In order of appearance, energy of formation = 27, 33, 75 kJ/mol of formula units.